## Rb4HO (PBE)

Data for an optimized crystal structure of Rb4HO.

Cell lengths 13.6737, 13.6737, 8.8771 Å; angles 90.00, 90.00, 159.65 degrees
Last column: nearest neighbours and their distance in Å.
Atoms (fractional coordinates):
Rb: 0.0361 0.9639 0.5000  1 O 2.63
Rb: 0.1352 0.8648 0.1789  1 O 2.59
Rb: 0.2348 0.7652 0.4695  1 O 2.73, 3 H 2.91-2.94
Rb: 0.3574 0.6426 0.1214  2 O 2.77, 1 H 3.06
Rb: 0.6426 0.3574 0.6214  2 O 2.77, 1 H 3.06
Rb: 0.7652 0.2348 0.9695  1 O 2.73, 3 H 2.91-2.94
Rb: 0.8648 0.1352 0.6789  1 O 2.59
Rb: 0.9639 0.0361 0.0000  1 O 2.63
H: 0.2438 0.7562 0.1394  5 Rb 2.91-3.06
H: 0.7562 0.2438 0.6394  5 Rb 2.91-3.06
O: 0.1333 0.8667 0.4710  5 Rb 2.59-2.77
O: 0.8667 0.1333 0.9710  5 Rb 2.59-2.77

## Properties
N(E_F) = 3.8 states/eV/cell
total magnetization = 0.00 μB per formula unit
E_tot = -15.17 eV per formula unit